Record 1
{
  "formula": "PrYRe",
  "functional": "PBE",
  "state": "relaxed",
  "mass_density_g_cm3": 8.89,
  "energy_ry_per_atom": -0.5724,
  "formation_energy_ev_per_atom": 0.11,
  "lattice_angstrom": [[3.241, 0.000, 0.000], [0.000, 3.241, 0.000], [0.000, 0.000, 14.804]],
  "species": ["Pr", "Pr", "Y", "Y", "Re", "Re"],
  "frac_coords": [[0.250, 0.250, 0.097], [0.750, 0.750, 0.903], [0.250, 0.250, 0.686], [0.750, 0.750, 0.314], [0.250, 0.250, 0.455], [0.750, 0.750, 0.545]]
}

---

Record 2
{
  "formula": "NiRhAu2",
  "functional": "PBE",
  "state": "relaxed",
  "mass_density_g_cm3": 14.78,
  "energy_ry_per_atom": -0.3448,
  "formation_energy_ev_per_atom": 0.23,
  "lattice_angstrom": [[0.000, 3.148, 3.148], [3.148, 0.000, 3.148], [3.148, 3.148, 0.000]],
  "species": ["Ni", "Rh", "Au", "Au"],
  "frac_coords": [[0.000, 0.000, 0.000], [0.500, 0.500, 0.500], [0.250, 0.250, 0.250], [0.750, 0.750, 0.750]]
}

---

Record 3
{
  "formula": "Cs2MgU2Te6",
  "functional": "PBE",
  "state": "relaxed",
  "mass_density_g_cm3": 5.47,
  "energy_ry_per_atom": -0.3607,
  "formation_energy_uncorrected_kj_per_mol_fu": -894,
  "lattice_angstrom": [[3.830, -6.622, 0.000], [3.830, 6.622, 0.000], [-2.556, 0.000, 9.173]],
  "species": ["Cs", "Cs", "Mg", "U", "U", "Te", "Te", "Te", "Te", "Te", "Te"],
  "frac_coords": [[0.166, 0.834, 0.000], [0.834, 0.166, 0.000], [0.000, 0.000, 0.500], [0.333, 0.667, 0.500], [0.667, 0.333, 0.500], [0.064, 0.394, 0.685], [0.272, 0.272, 0.315], [0.394, 0.064, 0.685], [0.606, 0.936, 0.315], [0.728, 0.728, 0.685], [0.936, 0.606, 0.315]]
}

---

Record 4
{
  "formula": "Li2NdVN4",
  "functional": "PBE",
  "state": "relaxed",
  "mass_density_g_cm3": 4.53,
  "energy_ry_per_atom": -0.5111,
  "formation_energy_uncorrected_kj_per_mol_fu": -445,
  "lattice_angstrom": [[-2.686, 2.686, 3.368], [2.686, -2.686, 3.368], [2.686, 2.686, -3.368]],
  "species": ["Li", "Li", "Nd", "V", "N", "N", "N", "N"],
  "frac_coords": [[0.250, 0.750, 0.500], [0.750, 0.250, 0.500], [0.000, 0.000, 0.000], [0.500, 0.500, 0.000], [0.153, 0.153, 0.603], [0.451, 0.847, 0.000], [0.549, 0.549, 0.397], [0.847, 0.451, 0.000]]
}

---

Record 5
{
  "formula": "Ac5DySe6",
  "functional": "PBE",
  "state": "relaxed",
  "mass_density_g_cm3": 8.12,
  "energy_ry_per_atom": -0.4167,
  "formation_energy_uncorrected_kj_per_mol_fu": -2120,
  "lattice_angstrom": [[3.808, -6.613, 0.000], [3.808, 6.613, 0.000], [-2.567, 0.000, 7.191]],
  "species": ["Ac", "Ac", "Ac", "Ac", "Ac", "Dy", "Se", "Se", "Se", "Se", "Se", "Se"],
  "frac_coords": [[0.000, 0.000, 0.000], [0.165, 0.835, 0.500], [0.327, 0.673, 0.000], [0.673, 0.327, 0.000], [0.835, 0.165, 0.500], [0.500, 0.500, 0.500], [0.105, 0.422, 0.264], [0.266, 0.266, 0.745], [0.422, 0.105, 0.264], [0.578, 0.895, 0.736], [0.734, 0.734, 0.255], [0.895, 0.578, 0.736]]
}

---

Record 6
{
  "formula": "Nd6Sb2Te",
  "functional": "PBE",
  "state": "relaxed",
  "mass_density_g_cm3": 7.29,
  "energy_ry_per_atom": -0.3877,
  "formation_energy_uncorrected_kj_per_mol_fu": -722,
  "lattice_angstrom": [[4.397, 0.000, 0.000], [0.000, 7.450, 4.301], [0.000, -7.450, 4.301]],
  "species": ["Nd", "Nd", "Nd", "Nd", "Nd", "Nd", "Sb", "Sb", "Te"],
  "frac_coords": [[0.000, 0.000, 0.000], [0.000, 0.476, 0.738], [0.000, 0.738, 0.476], [0.500, 0.149, 0.738], [0.500, 0.327, 0.327], [0.500, 0.738, 0.149], [0.000, 0.071, 0.405], [0.000, 0.405, 0.071], [0.500, 0.738, 0.738]]
}

---

Record 7
{
  "formula": "TiNbCo",
  "functional": "PBE",
  "state": "relaxed",
  "mass_density_g_cm3": 7.19,
  "energy_ry_per_atom": -0.6250,
  "formation_energy_ev_per_atom": -0.15,
  "lattice_angstrom": [[3.061, 0.000, 0.000], [-1.522, 5.194, 0.000], [-1.529, -1.161, 5.803]],
  "species": ["Ti", "Ti", "Nb", "Nb", "Co", "Co"],
  "frac_coords": [[0.091, 0.254, 0.428], [0.909, 0.746, 0.572], [0.233, 0.832, 0.134], [0.767, 0.168, 0.866], [0.447, 0.579, 0.813], [0.553, 0.421, 0.187]]
}

---

Record 8
{
  "formula": "CuW2",
  "functional": "PBE",
  "state": "relaxed",
  "mass_density_g_cm3": 15.79,
  "energy_ry_per_atom": -0.7095,
  "formation_energy_ev_per_atom": 0.35,
  "lattice_angstrom": [[-1.304, 2.094, 4.150], [1.304, -2.094, 4.150], [1.304, 2.094, -4.150]],
  "species": ["Cu", "W", "W"],
  "frac_coords": [[0.000, 0.000, 0.000], [0.335, 0.335, 0.000], [0.665, 0.665, 0.000]]
}

---

Record 9
{
  "formula": "YSbTe2Pb",
  "functional": "PBE",
  "state": "relaxed",
  "mass_density_g_cm3": 5.69,
  "energy_ry_per_atom": -0.3106,
  "formation_energy_uncorrected_kj_per_mol_fu": -53,
  "lattice_angstrom": [[5.809, 0.000, 0.000], [0.000, 5.809, 0.000], [0.000, 0.000, 5.820]],
  "species": ["Y", "Sb", "Te", "Te", "Pb"],
  "frac_coords": [[0.000, 0.000, 0.000], [0.000, 0.000, 0.500], [0.000, 0.500, 0.000], [0.500, 0.000, 0.000], [0.500, 0.500, 0.500]]
}

---

Number 6 is which compound?
Nd6Sb2Te